Material: TbP5
Method: DFT, PBE
State: optimized geometry

Unit cell a=6.281 b=6.426 c=11.498 alpha=90.00 beta=90.00 gamma=90.00
Atoms (fractional coordinates):
P (0.000, 0.688, 0.007)
P (0.500, 0.692, 0.011)
P (0.000, 0.336, 0.029)
P (0.236, 0.819, 0.129)
P (0.764, 0.819, 0.129)
P (0.500, 0.337, 0.216)
P (0.000, 0.356, 0.219)
P (0.256, 0.584, 0.270)
P (0.744, 0.584, 0.270)
P (0.500, 0.103, 0.356)
P (0.000, 0.312, 0.507)
P (0.500, 0.308, 0.511)
P (0.000, 0.664, 0.529)
P (0.236, 0.181, 0.629)
P (0.764, 0.181, 0.629)
P (0.500, 0.663, 0.716)
P (0.000, 0.644, 0.719)
P (0.256, 0.416, 0.770)
P (0.744, 0.416, 0.770)
P (0.500, 0.897, 0.856)
Tb (0.000, 0.979, 0.341)
Tb (0.500, 0.729, 0.475)
Tb (0.000, 0.021, 0.841)
Tb (0.500, 0.271, 0.975)

Summary:
Electronic total energy   -133.85 eV per cell